No. 1
KCo2Mo: optimized geometry, PBEsol.

Its magnetic moment is 0.0 μB/f.u. The value obtained for the formation energy is 0.810 eV/atom. For the total energy, the calculation gives -6.28 eV per atom. As for the calculated volume: 76.8 Å³ per cell.

Geometry as CIF:
```
data_KCo2Mo
_space_group_name_H-M_alt 'P 1'
_space_group_IT_number 1
_cell_length_a 2.7310
_cell_length_b 4.2688
_cell_length_c 6.9975
_cell_angle_alpha 96.38
_cell_angle_beta 90.00
_cell_angle_gamma 108.66
loop_
_space_group_symop_operation_xyz
'x,y,z'
loop_
_atom_site_label
_atom_site_type_symbol
_atom_site_fract_x
_atom_site_fract_y
_atom_site_fract_z
Co1 Co 0.7290 0.4580 0.6292
Co2 Co 0.2710 0.5420 0.3708
Mo1 Mo 0.0000 0.0000 0.5000
K1 K 0.5000 0.0000 0.0000
```


No. 2
KCo2Mo2O10: optimized geometry, PBEsol.

Its magnetic moment is 0.9 μB/f.u. For the total energy, the calculation gives -7.69 eV per atom. As for the calculated volume: 212.0 Å³ per cell. The formation energy (no corrections) comes out at -1.515 eV/atom.

Geometry as CIF:
```
data_KCo2Mo2O10
_space_group_name_H-M_alt 'P 1'
_space_group_IT_number 1
_cell_length_a 5.5118
_cell_length_b 5.5118
_cell_length_c 8.5611
_cell_angle_alpha 90.95
_cell_angle_beta 108.67
_cell_angle_gamma 118.51
loop_
_space_group_symop_operation_xyz
'x,y,z'
loop_
_atom_site_label
_atom_site_type_symbol
_atom_site_fract_x
_atom_site_fract_y
_atom_site_fract_z
O1 O 0.9803 0.3210 0.7965
O2 O 0.5245 0.1838 0.2035
O3 O 0.2516 0.1772 0.4289
O4 O 0.3974 0.6796 0.0770
O5 O 0.0754 0.8429 0.9183
O6 O 0.4755 0.8162 0.7965
O7 O 0.9246 0.1571 0.0817
O8 O 0.0197 0.6790 0.2035
O9 O 0.6026 0.3204 0.9230
O10 O 0.7484 0.8228 0.5711
K1 K 0.0000 0.5000 0.5000
Co1 Co 0.5000 0.0000 0.0000
Co2 Co 0.0000 0.5000 0.0000
Mo1 Mo 0.8230 0.9511 0.7741
Mo2 Mo 0.1770 0.0489 0.2259
```


No. 3
K4CoMo3O12: optimized geometry, PBEsol.

Its magnetic moment is 3.0 μB/f.u. For the total energy, the calculation gives -7.48 eV per atom. As for the calculated volume: 691.8 Å³ per cell. The formation energy (no corrections) comes out at -1.951 eV/atom.

Geometry as CIF:
```
data_K4CoMo3O12
_space_group_name_H-M_alt 'P 1'
_space_group_IT_number 1
_cell_length_a 7.8457
_cell_length_b 9.7449
_cell_length_c 9.9656
_cell_angle_alpha 94.53
_cell_angle_beta 106.95
_cell_angle_gamma 105.57
loop_
_space_group_symop_operation_xyz
'x,y,z'
loop_
_atom_site_label
_atom_site_type_symbol
_atom_site_fract_x
_atom_site_fract_y
_atom_site_fract_z
Mo1 Mo 0.7695 0.7705 0.3240
Mo2 Mo 0.8773 0.6866 0.8610
Mo3 Mo 0.1227 0.3134 0.1390
Mo4 Mo 0.6110 0.1064 0.3511
Mo5 Mo 0.3890 0.8936 0.6489
Mo6 Mo 0.2305 0.2295 0.6760
O1 O 0.7612 0.7679 0.5040
O2 O 0.7814 0.0186 0.4237
O3 O 0.2104 0.4016 0.7135
O4 O 0.4017 0.8751 0.8253
O5 O 0.8740 0.8589 0.8098
O6 O 0.7067 0.6317 0.9435
O7 O 0.3219 0.7205 0.5484
O8 O 0.6164 0.9955 0.6491
O9 O 0.8361 0.5536 0.7149
O10 O 0.4427 0.2286 0.7978
O11 O 0.6781 0.2795 0.4516
O12 O 0.1003 0.7145 0.9854
O13 O 0.7896 0.5984 0.2865
O14 O 0.1639 0.4464 0.2851
O15 O 0.2388 0.2321 0.4960
O16 O 0.3836 0.0045 0.3509
O17 O 0.5983 0.1249 0.1747
O18 O 0.9650 0.8857 0.2844
O19 O 0.1260 0.1411 0.1902
O20 O 0.0350 0.1143 0.7156
O21 O 0.8997 0.2855 0.0146
O22 O 0.5573 0.7714 0.2022
O23 O 0.2933 0.3683 0.0565
O24 O 0.2186 0.9814 0.5763
K1 K 0.2497 0.0246 0.9681
K2 K 0.7935 0.2764 0.7407
K3 K 0.5000 0.5000 0.5000
K4 K 0.2065 0.7236 0.2593
K5 K 0.6404 0.3834 0.0675
K6 K 0.0000 0.5000 0.5000
K7 K 0.7503 0.9754 0.0319
K8 K 0.3596 0.6166 0.9325
Co1 Co 0.1692 0.0570 0.3680
Co2 Co 0.8308 0.9430 0.6320
```


No. 4
KCoS2N: optimized geometry, PBEsol.

Its magnetic moment is 0.0 μB/f.u. For the total energy, the calculation gives -5.14 eV per atom. As for the polymorph energy (0 for the lowest one): 0.0000 eV per atom. As for the calculated volume: 82.2 Å³ per cell. The formation energy (no corrections) comes out at 0.093 eV/atom.

Geometry as CIF:
```
data_KCoS2N
_space_group_name_H-M_alt 'P 1'
_space_group_IT_number 1
_cell_length_a 3.3579
_cell_length_b 4.9476
_cell_length_c 4.9476
_cell_angle_alpha 90.00
_cell_angle_beta 90.00
_cell_angle_gamma 90.00
loop_
_space_group_symop_operation_xyz
'x,y,z'
loop_
_atom_site_label
_atom_site_type_symbol
_atom_site_fract_x
_atom_site_fract_y
_atom_site_fract_z
S1 S 0.0000 0.0000 0.5000
S2 S 0.0000 0.5000 0.0000
N1 N 0.5000 0.0000 0.0000
K1 K 0.5000 0.5000 0.5000
Co1 Co 0.0000 0.0000 0.0000
```


No. 5
KCoS2N: optimized geometry, PBEsol.

Its magnetic moment is 6.9 μB/f.u. For the total energy, the calculation gives -2.95 eV per atom. As for the polymorph energy (0 for the lowest one): 2.1862 eV per atom. As for the calculated volume: 132.9 Å³ per cell. The formation energy (no corrections) comes out at 2.279 eV/atom.

Geometry as CIF:
```
data_KCoS2N
_space_group_name_H-M_alt 'P 1'
_space_group_IT_number 1
_cell_length_a 4.6228
_cell_length_b 5.3622
_cell_length_c 5.3622
_cell_angle_alpha 90.00
_cell_angle_beta 90.00
_cell_angle_gamma 90.00
loop_
_space_group_symop_operation_xyz
'x,y,z'
loop_
_atom_site_label
_atom_site_type_symbol
_atom_site_fract_x
_atom_site_fract_y
_atom_site_fract_z
N1 N 0.5000 0.0000 0.0000
K1 K 0.0000 0.0000 0.0000
S1 S 0.0000 0.0000 0.5000
S2 S 0.0000 0.5000 0.0000
Co1 Co 0.5000 0.5000 0.5000
```


No. 6
KNa2Co: optimized geometry, PBEsol.

Its magnetic moment is 1.8 μB/f.u. The value obtained for the formation energy is 0.826 eV/atom. For the total energy, the calculation gives -2.09 eV per atom. As for the calculated volume: 115.8 Å³ per cell.

Geometry as CIF:
```
data_KNa2Co
_space_group_name_H-M_alt 'P 1'
_space_group_IT_number 1
_cell_length_a 5.4704
_cell_length_b 5.4704
_cell_length_c 5.4704
_cell_angle_alpha 60.00
_cell_angle_beta 60.00
_cell_angle_gamma 60.00
loop_
_space_group_symop_operation_xyz
'x,y,z'
loop_
_atom_site_label
_atom_site_type_symbol
_atom_site_fract_x
_atom_site_fract_y
_atom_site_fract_z
Co1 Co 0.5000 0.5000 0.5000
Na1 Na 0.7500 0.7500 0.7500
Na2 Na 0.2500 0.2500 0.2500
K1 K 0.0000 0.0000 0.0000
```